The following is a PBE calculation of a relaxed CaMnRe2 crystal, from Alexandria via LeMat-Bulk.

a b c (Å): 3.8099 3.8099 9.3026
angles (deg): 90.00 90.00 90.00
Space group I4/mmm (No. 139)
Unique sites:
Ca1 0.0000 0.0000 0.0000
Mn1 0.0000 0.0000 0.5000
Re1 0.0000 0.5000 0.2500

## Properties
ΔE_f = 0.7965 eV/atom
relative energy among the computed polymorphs = 315 meV/atom
spin magnetization = 5.7 μB per cell